First-principles (PBE-GGA) data for a geometry-optimized Hf3ZnCo8 structure, as listed in Alexandria.

Lattice parameters (Å, degrees): 4.8193 4.8193 8.3631 73.25 73.25 60.00
Each line ends with the local moment (μB).
Fractional coordinates of all 12 atoms:
1 Hf 0.3766 0.3766 0.8701  -0.21
2 Co 0.9394 0.4368 0.1870  0.87
3 Co 0.4368 0.4368 0.1870  0.87
4 Hf 0.9933 0.9933 0.0200  -0.24
5 Co 0.4368 0.9394 0.1870  0.87
6 Zn 0.8722 0.8722 0.3833  -0.02
7 Co 0.4385 0.9376 0.6863  1.01
8 Co 0.9376 0.9376 0.6863  1.01
9 Co 0.1882 0.1882 0.4353  1.00
10 Co 0.9376 0.4385 0.6863  1.01
11 Hf 0.5050 0.5050 0.4850  -0.22
12 Co 0.6879 0.6879 0.9364  0.89

Values from the calculation:
The formation energy is -0.3109 eV/atom.